Entry 1:
Here is a relaxed RbNiBi3 crystal from Alexandria via LeMat-Bulk. Energies are from PBEsol.

The space group is Pm-3m (No. 221) and the conventional cell measures 5.2903, 5.2903 and 5.2903 Å, with angles of 90.00, 90.00 and 90.00 degrees. Symmetry generates all atoms from Rb at (0.0000, 0.0000, 0.0000), Ni at (0.5000, 0.5000, 0.5000) and Bi at (0.0000, 0.5000, 0.5000).

The energy is -19.705 eV/f.u.

***

Entry 2:
Here is a relaxed TaBeW2 crystal from Alexandria via LeMat-Bulk. Energies are from PBEsol.

The space group is P4mm (No. 99) and the conventional cell measures 2.6835, 2.6835 and 8.0794 Å, with angles of 90.00, 90.00 and 90.00 degrees. Symmetry generates all atoms from Ta at (0.0000, 0.0000, 0.0000), Be at (0.5000, 0.5000, 0.7801), W at (0.0000, 0.0000, 0.5721) and W at (0.5000, 0.5000, 0.2893).

The energy is -43.270 eV/f.u.

***

Entry 3:
Here is a relaxed NaAsHBr2 crystal from Alexandria via LeMat-Bulk. Energies are from PBEsol.

The space group is P4/mmm (No. 123) and the conventional cell measures 5.4016, 5.4016 and 5.6084 Å, with angles of 90.00, 90.00 and 90.00 degrees. Symmetry generates all atoms from Na at (0.0000, 0.0000, 0.0000), As at (0.0000, 0.0000, 0.5000), H at (0.5000, 0.5000, 0.5000) and Br at (0.0000, 0.5000, 0.0000).

The energy is -9.801 eV/f.u.

***

Entry 4:
Here is a relaxed Ta2NiP crystal from Alexandria via LeMat-Bulk. Energies are from PBEsol.

The space group is R3m (No. 160, hexagonal axes) and the conventional cell measures 3.5042, 3.5042 and 17.1408 Å, with angles of 90.00, 90.00 and 120.00 degrees. Symmetry generates all atoms from Ta at (0.0000, 0.0000, 0.0000), Ta at (0.0000, 0.0000, 0.2134), Ni at (0.0000, 0.0000, 0.7658) and P at (0.0000, 0.0000, 0.4495).

The energy is -38.183 eV/f.u.

***

Entry 5:
Here is a relaxed AgAsAu crystal from Alexandria via LeMat-Bulk. Energies are from PBEsol.

The space group is I4mm (No. 107) and the conventional cell measures 3.5180, 3.5180 and 8.3989 Å, with angles of 90.00, 90.00 and 90.00 degrees. Symmetry generates all atoms from Ag at (0.0000, 0.0000, 0.0000), As at (0.0000, 0.0000, 0.6679) and Au at (0.0000, 0.0000, 0.3324).

The energy is -11.900 eV/f.u.

***

Entry 6:
Here is a relaxed MgAg4 crystal from Alexandria via LeMat-Bulk. Energies are from PBEsol.

The space group is Im-3m (No. 229) and the conventional cell measures 5.9409, 5.9409 and 5.9409 Å, with angles of 90.00, 90.00 and 90.00 degrees. Symmetry generates all atoms from Mg at (0.0000, 0.0000, 0.0000) and Ag at (0.2500, 0.2500, 0.2500).

The energy is -12.704 eV/f.u.

***

Entry 7:
Here is a relaxed CuW2 crystal from Alexandria via LeMat-Bulk. Energies are from PBEsol.

The space group is I4/mmm (No. 139) and the conventional cell measures 2.6513, 2.6513 and 12.2525 Å, with angles of 90.00, 90.00 and 90.00 degrees. Symmetry generates all atoms from Cu at (0.0000, 0.0000, 0.0000) and W at (0.0000, 0.0000, 0.3428).

The energy is -30.893 eV/f.u. The value obtained for the relative energy among the computed polymorphs is 0 meV/atom.

***

Entry 8:
Here is a relaxed TcHgS3 crystal from Alexandria via LeMat-Bulk. Energies are from PBEsol.

The space group is Pm-3m (No. 221) and the conventional cell measures 4.6030, 4.6030 and 4.6030 Å, with angles of 90.00, 90.00 and 90.00 degrees. Symmetry generates all atoms from Tc at (0.0000, 0.0000, 0.0000), Hg at (0.5000, 0.5000, 0.5000) and S at (0.0000, 0.0000, 0.5000).

The energy is -24.147 eV/f.u. The uncorrected formation energy comes out at 0.17 eV/atom.

***

no.,density (g/cm3)
1,8.65
2,15.92
3,2.63
4,12.34
5,12.13
6,7.22
7,16.63
8,6.72